K2AgMoF6 | PBE+U | optimized geometry

Calculated values
energy above the most stable polymorph in this dataset	0.000	eV/atom
V	18.3	Å³ per atom
Fermi-level density of states	0.00	states/eV/cell
space-group type	Pmmn (59)

POSCAR file:
```
K2AgMoF6
1.0
6.2099 0.0000 0.0000
0.0000 6.5999 0.0000
0.0000 0.0000 8.9414
F Mo K Ag
12 2 4 2
direct
0.2500 0.4362 0.5000
0.7500 0.4362 0.5000
0.7604 0.0019 0.0000
0.5000 0.2091 0.7340
0.0000 0.7909 0.2340
0.2604 0.9981 0.5000
0.2500 0.5638 0.0000
0.7500 0.5638 0.0000
0.2396 0.0019 0.0000
0.7396 0.9981 0.5000
0.0000 0.7909 0.7660
0.5000 0.2091 0.2660
0.5000 0.2225 0.5000
0.0000 0.7775 0.0000
0.5000 0.7896 0.2274
0.0000 0.2104 0.7274
0.5000 0.7896 0.7726
0.0000 0.2104 0.2726
0.5000 0.2843 0.0000
0.0000 0.7157 0.5000
```